1.
TiMnPCl2 | Alexandria | meta-GGA SCAN | PBEsol geometry; total DFT energy (no corrections) = -12.690 eV/atom; total moment = 5.72 μB per formula unit; E_form (uncorrected) = -0.563 eV/atom
1.0
4.553 0.000 0.000
0.000 4.553 0.000
0.000 0.000 5.031
Cl P Mn Ti
2 1 1 1
Cartesian
2.277 0.000 0.000 Cl
0.000 2.277 0.000 Cl
0.000 0.000 2.516 P
2.277 2.277 2.516 Mn
0.000 0.000 0.000 Ti



2.
YMnPCl2 | Alexandria | meta-GGA SCAN | PBEsol geometry; total DFT energy (no corrections) = -15.420 eV/atom; total moment = 4.21 μB per formula unit; E_form (uncorrected) = -0.929 eV/atom
1.0
4.478 0.000 0.000
0.000 4.478 0.000
0.000 0.000 4.946
Cl Y Mn P
2 1 1 1
Cartesian
2.239 0.000 0.000 Cl
0.000 2.239 0.000 Cl
2.239 2.239 2.473 Y
0.000 0.000 0.000 Mn
0.000 0.000 2.473 P



3.
ZrMnP2Cl | Alexandria | meta-GGA SCAN | PBEsol geometry; total DFT energy (no corrections) = -15.635 eV/atom; total moment = 3.51 μB per formula unit; E_form (uncorrected) = -0.090 eV/atom
1.0
4.370 0.000 0.000
0.000 4.464 0.000
0.000 0.000 4.464
Cl Mn Zr P
1 1 1 2
Cartesian
2.185 0.000 0.000 Cl
0.000 0.000 0.000 Mn
2.185 2.232 2.232 Zr
0.000 2.232 0.000 P
0.000 0.000 2.232 P



Question: E_form (uncorrected) of number 3 (ZrMnP2Cl)?
Answer: -0.090 eV/atom